*i*
{
  "formula": "TaRuCl2",
  "functional": "GGA-PBEsol",
  "state": "relaxed",
  "cell": [[-0.6303, 2.7829, -1.0972], [-4.0731, -0.6560, 0.6758], [2.9520, 1.4681, 6.2869]],
  "species": ["Ru", "Cl", "Cl", "Ta"],
  "frac_coords": [[0.0000, 0.5000, 0.0000], [0.8484, 0.8484, 0.6969], [0.1516, 0.1516, 0.3031], [0.5000, 0.0000, 0.0000]],
  "vol_a3_per_cell": 84.5
}



*ii*
{
  "formula": "TaRuCl2",
  "functional": "GGA-PBEsol",
  "state": "relaxed",
  "cell": [[3.3230, 0.0034, 0.0000], [-0.0510, 4.5135, 0.0000], [-1.6360, -2.2585, 4.2500]],
  "species": ["Ru", "Ta", "Cl", "Cl"],
  "frac_coords": [[0.0000, 0.0000, 0.0000], [0.5000, 0.5000, 0.0000], [0.5000, 0.5000, 0.5000], [0.0000, 0.0000, 0.5000]],
  "vol_a3_per_cell": 63.7
}



Relative calculated energies, zero for the most stable structure, unit eV/atom: *i* 0.000; *ii* 0.325.



*i*
{
  "formula": "TeRuCl2",
  "functional": "GGA-PBEsol",
  "state": "relaxed",
  "cell": [[3.6906, 0.0000, 0.0000], [0.0000, 4.6554, 0.0029], [0.0000, -1.6964, 5.4220]],
  "species": ["Ru", "Cl", "Cl", "Te"],
  "frac_coords": [[0.0000, 0.5052, 0.9666], [0.0000, 0.0332, 0.0651], [0.5000, 0.6257, 0.3005], [0.5000, 0.3358, 0.6677]],
  "vol_a3_per_cell": 93.2
}



*ii*
{
  "formula": "TeRuCl2",
  "functional": "GGA-PBEsol",
  "state": "relaxed",
  "cell": [[-3.7511, -0.2184, 0.8145], [-1.2434, -2.4320, 2.7058], [0.8157, 5.4928, 5.3472]],
  "species": ["Ru", "Te", "Cl", "Cl"],
  "frac_coords": [[0.5411, 0.5411, 0.4797], [0.8750, 0.8750, 0.3363], [0.8767, 0.8767, 0.0290], [0.2073, 0.2073, 0.6550]],
  "vol_a3_per_cell": 98.6
}



Relative calculated energies, zero for the most stable structure, unit eV/atom: *i* 0.062; *ii* 0.000.



*i*
{
  "formula": "TlRu2Cl",
  "functional": "GGA-PBEsol",
  "state": "relaxed",
  "cell": [[3.0450, 0.0000, 0.0000], [0.0000, 3.0450, 0.0000], [0.0000, 0.0000, 6.6628]],
  "species": ["Ru", "Ru", "Tl", "Cl"],
  "frac_coords": [[0.0000, 0.0000, 0.2819], [0.0000, 0.0000, 0.7181], [0.5000, 0.5000, 0.0000], [0.5000, 0.5000, 0.5000]],
  "vol_a3_per_cell": 61.8
}



*ii*
{
  "formula": "TlRu2Cl",
  "functional": "GGA-PBEsol",
  "state": "relaxed",
  "cell": [[4.5431, 0.0000, 0.0000], [2.2716, 3.9345, 0.0000], [2.2716, 1.3115, 3.7095]],
  "species": ["Cl", "Tl", "Ru", "Ru"],
  "frac_coords": [[0.5000, 0.5000, 0.5000], [0.7500, 0.7500, 0.7500], [0.2500, 0.2500, 0.2500], [0.0000, 0.0000, 0.0000]],
  "vol_a3_per_cell": 66.3
}



Relative calculated energies, zero for the most stable structure, unit eV/atom: *i* 0.000; *ii* 0.172.



*i*
{
  "formula": "Ru2WCl",
  "functional": "GGA-PBEsol",
  "state": "relaxed",
  "cell": [[2.8081, -0.0343, 0.0000], [-1.2365, 2.5215, 0.0000], [0.0000, 0.0000, 8.4532]],
  "species": ["W", "Cl", "Ru", "Ru"],
  "frac_coords": [[0.5000, 0.5000, 0.5000], [0.5000, 0.5000, 0.0000], [0.0000, 0.0000, 0.7470], [0.0000, 0.0000, 0.2530]],
  "vol_a3_per_cell": 59.5
}



*ii*
{
  "formula": "Ru2WCl",
  "functional": "GGA-PBEsol",
  "state": "relaxed",
  "cell": [[-1.5119, 2.3025, -0.2228], [-2.2636, -1.4177, 0.7098], [1.3330, 1.5949, 7.4363]],
  "species": ["Ru", "Ru", "W", "Cl"],
  "frac_coords": [[0.5000, 0.5000, 0.2546], [0.0000, 0.0000, 0.0272], [0.0000, 0.0000, 0.5018], [0.5000, 0.5000, 0.7163]],
  "vol_a3_per_cell": 59.0
}



Relative calculated energies, zero for the most stable structure, unit eV/atom: *i* 0.008; *ii* 0.000.